Material: Sn3AsSe2
Method: DFT, PBE-GGA
State: relaxed

Summary:
Energy relative to the lowest polymorph listed for this composition, eV per atom: 0.0000
Symmetry: No. 139
E_form (uncorrected), eV/atom: -0.29
ρ, g/cm3: 6.2

Cell: 4.1829 4.1829 9.5474 Å, 102.65 102.65 90.00°
Closest atoms and distances in Å follow each position.
Fractional coordinates of all 6 atoms:
Sn 0.8395 0.8395 0.6790  1 As 2.91, 5 Se 2.96-3.13
Sn 0.1605 0.1605 0.3210  1 As 2.91, 5 Se 2.96-3.13
Sn 0.5000 0.5000 0.0000  4 As 2.96, 2 Se 3.03
As 0.0000 0.0000 0.0000  6 Sn 2.91-2.96
Se 0.3331 0.3331 0.6662  6 Sn 2.96-3.13
Se 0.6669 0.6669 0.3338  6 Sn 2.96-3.13